[1]
A plane-wave DFT calculation with GGA-PBEsol was carried out for a relaxed structure of Fe2HgAs.

Cell: 4.3929 4.3929 4.3929 Å, 60.00 60.00 60.00°
Sites, in units of the cell vectors:
Fe 0.0000 0.0000 0.0000
Fe 0.2500 0.2500 0.2500
Hg 0.5000 0.5000 0.5000
As 0.7500 0.7500 0.7500

Results
Uncorrected energy: -21.210 eV per cell
SG: No. 216

***

[2]
A plane-wave DFT calculation with GGA-PBEsol was carried out for a relaxed structure of Tb2Ce.

Cell: 8.4902 8.4902 8.4902 Å, 23.55 23.55 23.55°
Sites, in units of the cell vectors:
Tb 0.2247 0.2247 0.2247
Tb 0.7753 0.7753 0.7753
Ce 0.0000 0.0000 0.0000

Results
Uncorrected energy: -16.434 eV per cell
SG: No. 166

***

[3]
A plane-wave DFT calculation with GGA-PBEsol was carried out for a relaxed structure of LiYTaHg2.

Cell: 5.1903 5.1903 4.7615 Å, 90.00 90.00 90.00°
Sites, in units of the cell vectors:
Li 0.0000 0.0000 0.0000
Y 0.5000 0.5000 0.0000
Ta 0.0000 0.0000 0.5000
Hg 0.0000 0.5000 0.5000
Hg 0.5000 0.0000 0.5000

Results
Uncorrected energy: -18.772 eV per cell
SG: No. 123

***

[4]
A plane-wave DFT calculation with GGA-PBEsol was carried out for a relaxed structure of CSeSCl2.

Cell: 4.1750 4.1750 4.4225 Å, 90.00 90.00 90.00°
Sites, in units of the cell vectors:
C 0.0000 0.0000 0.0000
Se 0.5000 0.5000 0.5000
S 0.0000 0.0000 0.5000
Cl 0.0000 0.5000 0.0000
Cl 0.5000 0.0000 0.0000

Results
Uncorrected energy: -16.238 eV per cell
SG: No. 123
Energy relative to the elements, uncorrected: 1131 meV per atom

***

[5]
A plane-wave DFT calculation with GGA-PBEsol was carried out for a relaxed structure of SrHfBr2.

Cell: 9.9533 9.9533 9.9533 Å, 20.80 20.80 20.80°
Sites, in units of the cell vectors:
Sr 0.0000 0.0000 0.0000
Hf 0.5000 0.5000 0.5000
Br 0.4099 0.4099 0.4099
Br 0.5901 0.5901 0.5901

Results
Uncorrected energy: -18.587 eV per cell
SG: No. 166
Energy relative to the elements, uncorrected: -626 meV per atom

***

[6]
A plane-wave DFT calculation with GGA-PBEsol was carried out for a relaxed structure of LiCu2Ir.

Cell: 4.5413 4.5413 4.4993 Å, 99.88 99.88 32.68°
Sites, in units of the cell vectors:
Li 0.0000 0.0000 0.0000
Cu 0.4945 0.4945 0.5013
Cu 0.7547 0.7547 0.2333
Ir 0.2416 0.2416 0.7268

Results
Uncorrected energy: -20.420 eV per cell
SG: No. 8
Energy above the most stable polymorph in this dataset: 0.27 eV/f.u.

***

[7]
A plane-wave DFT calculation with GGA-PBEsol was carried out for a relaxed structure of NbSi2Cl.

Cell: 6.2824 6.2824 6.2824 Å, 97.74 97.74 136.94°
Sites, in units of the cell vectors:
Nb 0.0000 0.0000 0.0000
Nb 0.7500 0.2500 0.5000
Si 0.0606 0.6250 0.9356
Si 0.3750 0.3106 0.4356
Si 0.6894 0.1250 0.0644
Si 0.8750 0.9394 0.5644
Cl 0.2500 0.7500 0.5000
Cl 0.5000 0.5000 0.0000

Results
Uncorrected energy: -46.615 eV per cell
SG: No. 122
Energy relative to the elements, uncorrected: 254 meV per atom

***

[8]
A plane-wave DFT calculation with GGA-PBEsol was carried out for a relaxed structure of LiTlRu2.

Cell: 5.1303 5.1303 5.1303 Å, 145.08 128.19 64.01°
Sites, in units of the cell vectors:
Li 0.0000 0.0000 0.0000
Tl 0.7481 0.2481 0.5000
Ru 0.2424 0.7424 0.5000
Ru 0.4792 0.4792 0.0000

Results
Uncorrected energy: -23.070 eV per cell
SG: No. 44

***

[9]
A plane-wave DFT calculation with GGA-PBEsol was carried out for a relaxed structure of BeNb2OsRh.

Cell: 4.7584 4.7584 4.0899 Å, 90.00 90.00 90.00°
Sites, in units of the cell vectors:
Be 0.0000 0.0000 0.0000
Nb 0.0000 0.5000 0.5000
Nb 0.5000 0.0000 0.5000
Os 0.0000 0.0000 0.5000
Rh 0.5000 0.5000 0.0000

Results
Uncorrected energy: -40.469 eV per cell
SG: No. 123

***

[10]
A plane-wave DFT calculation with GGA-PBEsol was carried out for a relaxed structure of ZrScNi2Sn2.

Cell: 7.4690 7.4690 7.4690 Å, 33.40 33.40 33.40°
Sites, in units of the cell vectors:
Zr 0.0000 0.0000 0.0000
Sc 0.5027 0.5027 0.5027
Ni 0.1248 0.1248 0.1248
Ni 0.6275 0.6275 0.6275
Sn 0.2506 0.2506 0.2506
Sn 0.7516 0.7516 0.7516

Results
Uncorrected energy: -40.660 eV per cell
SG: No. 160

***

[11]
A plane-wave DFT calculation with GGA-PBEsol was carried out for a relaxed structure of CaScRe2.

Cell: 2.7892 4.5979 6.0261 Å, 90.00 99.80 90.00°
Sites, in units of the cell vectors:
Ca 0.0000 0.0000 0.0000
Sc 0.5000 0.0000 0.5000
Re 0.2102 0.5000 0.6936
Re 0.7898 0.5000 0.3064

Results
Uncorrected energy: -33.443 eV per cell
SG: No. 10
Energy above the most stable polymorph in this dataset: 0.18 eV/f.u.

***

[12]
A plane-wave DFT calculation with GGA-PBEsol was carried out for a relaxed structure of Ti2AgH2.

Cell: 5.2752 5.2752 5.2752 Å, 142.78 142.78 53.65°
Sites, in units of the cell vectors:
Ti 0.1583 0.1583 0.0000
Ti 0.8417 0.8417 0.0000
Ag 0.5000 0.5000 0.0000
H 0.2500 0.7500 0.5000
H 0.7500 0.2500 0.5000

Results
Uncorrected energy: -27.910 eV per cell
SG: No. 139